# Tb5Pu3Te8 (PBE, relaxed)
# Formation energy from raw total energies: -1.25 eV/atom
# Calculated volume: 29.96 Å³/atom
data_Tb5Pu3Te8
_symmetry_space_group_name_H-M 'R -3 m'
_symmetry_Int_Tables_number 166
_symmetry_space_group_name_Hall '-R 3 2"'
_cell_length_a 8.7534
_cell_length_b 8.7534
_cell_length_c 21.6738
_cell_angle_alpha 90.00
_cell_angle_beta 90.00
_cell_angle_gamma 120.00
loop_
_atom_site_label
_atom_site_fract_x
_atom_site_fract_y
_atom_site_fract_z
_atom_site_occupancy
Tb1 0.0000 0.0000 0.0000 1
Tb2 0.0000 0.0000 0.5000 1
Tb3 0.0000 0.5000 0.0000 1
Pu1 0.0000 0.5000 0.5000 1
Te1 0.0000 0.0000 0.2511 1
Te2 0.0016 0.5008 0.2508 1

# MgSc2Ta (PBE, relaxed)
# Calculated volume: 21.55 Å³/atom
# Formation enthalpy at 0 K: 215 meV per atom
data_MgSc2Ta
_symmetry_space_group_name_H-M 'I m m 2'
_symmetry_Int_Tables_number 44
_cell_length_a 3.186
_cell_length_b 5.124
_cell_length_c 10.562
_cell_angle_alpha 90.00
_cell_angle_beta 90.00
_cell_angle_gamma 90.00
loop_
_symmetry_equiv_pos_as_xyz
'x,y,z'
'-x,-y,z'
'-x,y,z'
'x,-y,z'
'x+1/2,y+1/2,z+1/2'
'-x+1/2,-y+1/2,z+1/2'
'-x+1/2,y+1/2,z+1/2'
'x+1/2,-y+1/2,z+1/2'
loop_
_atom_site_label
_atom_site_fract_x
_atom_site_fract_y
_atom_site_fract_z
_atom_site_occupancy
Mg1 0.000 0.000 0.000 1
Sc1 0.000 0.000 0.525 1
Sc2 0.000 0.500 0.745 1
Ta1 0.000 0.500 0.269 1